DFT (PBE-GGA) results for crystalline Ga2OsO at its relaxed geometry.

Calculated values
DFT total energy = -5.69 eV per atom
magnetization = 0.84 μB per formula unit
formation energy from raw total energies = -0.130 eV per atom
space-group type = I-42d

Unit cell a=5.908 b=5.908 c=5.308 alpha=56.18 beta=56.18 gamma=90.00
Each line ends with the local moment (μB).
Positions (direct):
Ga 0.193 0.625 0.250  -0.01
Ga 0.375 0.443 0.750  -0.01
O 0.250 0.750 0.500  0.02
O 0.500 0.500 0.000  0.02
Ga 0.875 0.807 0.750  -0.01
Os 0.750 0.250 0.500  0.79
Ga 0.557 0.125 0.250  -0.01
Os 0.000 0.000 0.000  0.78